DFT (PBE+U) results for a relaxed Ac2CdNiO5 crystal.

Calculated values
The magnetization comes out at 0.004 μB per atom. The calculation puts the total DFT energy (no corrections) at -6.059 eV per atom. As for the symmetry: P4/mbm, No. 127.

Unit cell a=5.6354 b=7.1033 c=7.1033 alpha=90.00 beta=90.00 gamma=90.00
Positions (direct):
Ac: 0.5000 0.6752 0.1752
Ac: 0.5000 0.1752 0.3248
Ac: 0.5000 0.8248 0.6752
Ac: 0.5000 0.3248 0.8248
Cd: 0.0000 0.5000 0.5000
Cd: 0.0000 0.0000 0.0000
Ni: 0.0000 0.0000 0.5000
Ni: 0.0000 0.5000 0.0000
O: 0.5000 0.5000 0.5000
O: 0.5000 0.0000 0.0000
O: 0.2319 0.1330 0.6330
O: 0.2319 0.8670 0.3670
O: 0.2319 0.3670 0.1330
O: 0.2319 0.6330 0.8670
O: 0.7681 0.1330 0.6330
O: 0.7681 0.6330 0.8670
O: 0.7681 0.8670 0.3670
O: 0.7681 0.3670 0.1330